Arrangement one

K3In2Bi4 | PBE-GGA | relaxed

Output
Space-group type ... P-1, No. 2
Crystal system ... triclinic
V ... 347.6 Å³/cell
Total magnetization ... 0.000 μB/f.u.
N(E_F) ... 0.337 states/eV/atom

Lattice parameters (Å, degrees): 4.9456 7.5864 10.2697 73.57 90.06 70.99
With the nearest neighbours (Å) after each atom.
Sites, in units of the cell vectors:
Bi (0.9017, 0.1968, 0.6001)  3 In 3.05-3.11
Bi (0.0983, 0.8032, 0.3999)  3 In 3.05-3.11
Bi (0.7050, 0.5900, 0.0542)  1 In 3.09, 2 Bi 3.14
Bi (0.2950, 0.4100, 0.9458)  1 In 3.09, 2 Bi 3.14
K (0.3914, 0.2169, 0.3100)  7 Bi 3.58-4.00, 2 In 3.72
K (0.0000, 0.0000, 0.0000)  6 Bi 3.75-3.92
K (0.6086, 0.7831, 0.6900)  7 Bi 3.58-4.00, 2 In 3.72
In (0.2900, 0.4206, 0.6432)  4 Bi 3.05-3.11
In (0.7100, 0.5794, 0.3568)  4 Bi 3.05-3.11

---

Arrangement two

K3In2Bi4 | PBE-GGA | relaxed

Output
Space-group type ... C2/c, No. 15
Crystal system ... monoclinic
V ... 749.4 Å³/cell
Total magnetization ... 0.000 μB/f.u.
N(E_F) ... 0.362 states/eV/atom

Lattice parameters (Å, degrees): 8.8418 9.4505 9.4505 84.15 77.14 77.14
With the nearest neighbours (Å) after each atom.
Sites, in units of the cell vectors:
Bi (0.6576, 0.4268, 0.2274)  2 In 3.03-3.04, 1 Bi 3.15
Bi (0.5935, 0.0479, 0.6992)  2 In 3.02-3.05, 1 Bi 3.15
Bi (0.4065, 0.9521, 0.3008)  2 In 3.02-3.05, 1 Bi 3.15
Bi (0.8424, 0.7726, 0.5732)  2 In 3.03-3.04, 1 Bi 3.15
Bi (0.0935, 0.6992, 0.0479)  2 In 3.02-3.05, 1 Bi 3.15
Bi (0.1576, 0.2274, 0.4268)  2 In 3.03-3.04, 1 Bi 3.15
Bi (0.3424, 0.5732, 0.7726)  2 In 3.03-3.04, 1 Bi 3.15
Bi (0.9065, 0.3008, 0.9521)  2 In 3.02-3.05, 1 Bi 3.15
In (0.4922, 0.8039, 0.5787)  4 Bi 3.02-3.05
In (0.9922, 0.5787, 0.8039)  4 Bi 3.02-3.05
In (0.0078, 0.4213, 0.1961)  4 Bi 3.02-3.05
In (0.5078, 0.1961, 0.4213)  4 Bi 3.02-3.05
K (0.9293, 0.0274, 0.2617)  5 Bi 3.66-4.02, 2 In 3.75-3.90
K (0.0707, 0.9726, 0.7383)  5 Bi 3.66-4.02, 2 In 3.75-3.90
K (0.4293, 0.2617, 0.0274)  5 Bi 3.66-4.02, 2 In 3.75-3.90
K (0.7500, 0.3965, 0.6035)  6 Bi 3.69-3.80, 4 In 3.91-4.03
K (0.2500, 0.6035, 0.3965)  6 Bi 3.69-3.80, 4 In 3.91-4.03
K (0.5707, 0.7383, 0.9726)  5 Bi 3.66-4.02, 2 In 3.75-3.90

---

Q: Which of them is the most stable? A: arrangement one.

---

Arrangement one

KIn3Bi3 | PBE-GGA | relaxed

Output
Space-group type ... Pm-3n, No. 223
Crystal system ... cubic
V ... 610.7 Å³/cell
Total magnetization ... 0.000 μB/f.u.
N(E_F) ... 0.351 states/eV/atom

Lattice parameters (Å, degrees): 8.4840 8.4840 8.4840 90.00 90.00 90.00
With the nearest neighbours (Å) after each atom.
Sites, in units of the cell vectors:
Bi (0.2500, 0.0000, 0.5000)  4 In 3.00
Bi (0.0000, 0.5000, 0.7500)  4 In 3.00
Bi (0.7500, 0.0000, 0.5000)  4 In 3.00
Bi (0.5000, 0.2500, 0.0000)  4 In 3.00
Bi (0.0000, 0.5000, 0.2500)  4 In 3.00
Bi (0.5000, 0.7500, 0.0000)  4 In 3.00
In (0.5000, 0.0000, 0.2500)  4 Bi 3.00
In (0.0000, 0.7500, 0.5000)  4 Bi 3.00
In (0.0000, 0.2500, 0.5000)  4 Bi 3.00
In (0.7500, 0.5000, 0.0000)  4 Bi 3.00
In (0.5000, 0.0000, 0.7500)  4 Bi 3.00
In (0.2500, 0.5000, 0.0000)  4 Bi 3.00
K (0.5000, 0.5000, 0.5000)  12 In 4.74, 12 Bi 4.74
K (0.0000, 0.0000, 0.0000)  12 In 4.74, 12 Bi 4.74

---

Arrangement two

KIn3Bi3 | PBE-GGA | relaxed

Output
Space-group type ... P6_3/m, No. 176
Crystal system ... hexagonal
V ... 599.1 Å³/cell
Total magnetization ... 0.000 μB/f.u.
N(E_F) ... 0.253 states/eV/atom

Lattice parameters (Å, degrees): 5.5304 11.1820 11.1878 120.01 90.00 90.00
With the nearest neighbours (Å) after each atom.
Sites, in units of the cell vectors:
In (0.2500, 0.0662, 0.6731)  4 Bi 2.98-3.05
In (0.7500, 0.6728, 0.6064)  4 Bi 2.98-3.05
In (0.7500, 0.9338, 0.3269)  4 Bi 2.98-3.05
In (0.7500, 0.3933, 0.0663)  4 Bi 2.98-3.05
In (0.2500, 0.3272, 0.3936)  4 Bi 2.98-3.05
In (0.2500, 0.6067, 0.9337)  4 Bi 2.98-3.05
Bi (0.7500, 0.3986, 0.3349)  4 In 2.98-3.05
Bi (0.2500, 0.3351, 0.9362)  4 In 2.98-3.05
Bi (0.2500, 0.0638, 0.3991)  4 In 2.98-3.05
Bi (0.7500, 0.9362, 0.6009)  4 In 2.98-3.05
Bi (0.2500, 0.6014, 0.6651)  4 In 2.98-3.05
Bi (0.7500, 0.6649, 0.0638)  4 In 2.98-3.05
K (0.2500, 0.6666, 0.3332)  9 Bi 4.08-4.13, 9 In 4.10-4.18
K (0.7500, 0.3334, 0.6668)  9 Bi 4.08-4.13, 9 In 4.10-4.18

---

Arrangement three

KIn3Bi3 | PBE-GGA | relaxed

Output
Space-group type ... R-3, No. 148
Crystal system ... trigonal
V ... 555.2 Å³/cell
Total magnetization ... 0.000 μB/f.u.
N(E_F) ... 0.289 states/eV/atom

Lattice parameters (Å, degrees): 8.6652 8.6652 9.8958 64.04 64.04 60.00
With the nearest neighbours (Å) after each atom.
Sites, in units of the cell vectors:
Bi (0.0881, 0.7637, 0.7388)  4 In 3.05-3.10
Bi (0.9119, 0.2363, 0.2612)  4 In 3.05-3.10
Bi (0.5906, 0.9119, 0.2612)  4 In 3.05-3.10
Bi (0.7637, 0.4094, 0.7388)  4 In 3.05-3.10
Bi (0.4094, 0.0881, 0.7388)  4 In 3.05-3.10
Bi (0.2363, 0.5906, 0.2612)  4 In 3.05-3.10
In (0.8765, 0.5300, 0.3753)  4 Bi 3.05-3.10
In (0.7819, 0.1235, 0.6247)  4 Bi 3.05-3.10
In (0.4700, 0.7819, 0.6247)  4 Bi 3.05-3.10
In (0.2181, 0.8765, 0.3753)  4 Bi 3.05-3.10
In (0.5300, 0.2181, 0.3753)  4 Bi 3.05-3.10
In (0.1235, 0.4700, 0.6247)  4 Bi 3.05-3.10
K (0.3332, 0.3332, 0.0005)  6 Bi 3.68-3.69
K (0.6668, 0.6668, 0.9995)  6 Bi 3.68-3.69

---

Q: Which of them is the most stable? A: arrangement three.